AgAu4 | PBE | relaxed

Geometry as POSCAR:
```
AgAu4
1.0
2.919 0.000 0.000
-1.460 4.890 -0.025
1.460 -1.384 6.308
Ag Au
1 4
direct
0.000 0.000 0.000 Ag
0.399 0.198 0.400 Au
0.800 0.402 0.801 Au
0.200 0.598 0.199 Au
0.601 0.802 0.600 Au
```

- Space-group type: No. 12
- Polymorph energy (0 for the lowest one): 5 meV/atom
- ΔE_f: -0.025 eV/atom
- Total magnetization: 0.00 μB per atom

---

Ag2Au3 | PBE | relaxed

Geometry as POSCAR:
```
Ag2Au3
1.0
-7.379 -2.371 1.592
-1.301 -5.319 5.712
-3.225 0.056 4.799
Au Ag
6 4
direct
0.066 0.750 0.750 Au
0.750 0.434 0.750 Au
0.434 0.066 0.750 Au
0.250 0.566 0.250 Au
0.566 0.934 0.250 Au
0.934 0.250 0.250 Au
0.876 0.876 0.372 Ag
0.376 0.376 0.872 Ag
0.124 0.124 0.628 Ag
0.624 0.624 0.128 Ag
```

- Space-group type: No. 167
- Polymorph energy (0 for the lowest one): 228 meV/atom
- ΔE_f: 0.183 eV/atom
- Total magnetization: 0.00 μB per atom

---

Ag7Au2 | PBE | relaxed

Geometry as POSCAR:
```
Ag7Au2
1.0
-0.694 2.719 -0.694
-0.661 -2.148 -7.750
-6.429 -0.399 4.860
Ag Au
7 2
direct
0.500 0.640 0.000 Ag
0.500 0.000 0.640 Ag
0.500 0.360 0.360 Ag
0.000 0.305 0.000 Ag
0.000 0.000 0.305 Ag
0.000 0.695 0.695 Ag
0.500 0.000 0.000 Ag
0.000 0.667 0.333 Au
0.000 0.333 0.667 Au
```

- Space-group type: No. 189
- Polymorph energy (0 for the lowest one): 18 meV/atom
- ΔE_f: 0.004 eV/atom
- Total magnetization: 0.00 μB per atom